Record 1
# Li2PuMg3O6 PBE optimized geometry
data_Li2PuMg3O6
_cell_length_a 5.330
_cell_length_b 9.267
_cell_length_c 5.394
_cell_angle_alpha 90.00
_cell_angle_beta 108.61
_cell_angle_gamma 90.00
_symmetry_space_group_name_H-M 'C 1 2/m 1'
_symmetry_Int_Tables_number 12
loop_
_symmetry_equiv_pos_as_xyz
'x,y,z'
'-x,-y,-z'
'-x,y,-z'
'x,-y,z'
'x+1/2,y+1/2,z'
'-x+1/2,-y+1/2,-z'
'-x+1/2,y+1/2,-z'
'x+1/2,-y+1/2,z'
loop_
_atom_site_label
_atom_site_fract_x
_atom_site_fract_y
_atom_site_fract_z
Li1 0.000 0.165 0.000
Pu1 0.000 0.500 0.000
Mg1 0.000 0.000 0.500
Mg2 0.000 0.325 0.500
O1 0.240 0.500 0.736
O2 0.245 0.165 0.733
# DOS at the Fermi energy in states/eV per cell: 0.51
# M_tot in μB per cell: 8.000
# Formation energy from raw total energies in eV per atom: -2.554

Record 2
# Cd2HgPt PBE optimized geometry
data_Cd2HgPt
_cell_length_a 3.0642
_cell_length_b 3.0642
_cell_length_c 30.0784
_cell_angle_alpha 90.00
_cell_angle_beta 90.00
_cell_angle_gamma 120.00
_symmetry_space_group_name_H-M 'R -3 m'
_symmetry_Int_Tables_number 166
_symmetry_space_group_name_Hall '-R 3 2"'
loop_
_atom_site_label
_atom_site_fract_x
_atom_site_fract_y
_atom_site_fract_z
Cd1 0.0000 0.0000 0.2413
Hg1 0.0000 0.0000 0.0000
Pt1 0.0000 0.0000 0.5000
# DOS at the Fermi energy in states/eV per cell: 2.90
# Energy relative to the elements in eV/atom: -0.036
# M_tot in μB per cell: 0.000

Record 3
# Re3PbAu PBE optimized geometry
data_Re3PbAu
_cell_length_a 4.915
_cell_length_b 4.915
_cell_length_c 4.915
_cell_angle_alpha 90.00
_cell_angle_beta 90.00
_cell_angle_gamma 90.00
_symmetry_space_group_name_H-M 'P m -3 m'
_symmetry_Int_Tables_number 221
_symmetry_space_group_name_Hall '-P 4 2 3'
loop_
_atom_site_label
_atom_site_fract_x
_atom_site_fract_y
_atom_site_fract_z
Re1 0.000 0.000 0.500
Pb1 0.500 0.500 0.500
Au1 0.000 0.000 0.000
# DOS at the Fermi energy in states/eV per cell: 6.21
# Energy relative to the elements in eV/atom: 2.712
# M_tot in μB per cell: 5.181

Record 4
# Pm2TmZn2Ga2 PBE optimized geometry
data_Pm2TmZn2Ga2
_cell_length_a 4.4336
_cell_length_b 4.4336
_cell_length_c 28.4505
_cell_angle_alpha 90.00
_cell_angle_beta 90.00
_cell_angle_gamma 120.00
_symmetry_space_group_name_H-M 'R -3 m'
_symmetry_Int_Tables_number 166
_symmetry_space_group_name_Hall '-R 3 2"'
loop_
_atom_site_label
_atom_site_fract_x
_atom_site_fract_y
_atom_site_fract_z
Pm1 0.0000 0.0000 0.1240
Tm1 0.0000 0.0000 0.0000
Zn1 0.0000 0.0000 0.3902
Ga1 0.0000 0.0000 0.2704
# DOS at the Fermi energy in states/eV per cell: 11.77
# Energy relative to the elements in eV/atom: -0.402
# M_tot in μB per cell: 0.000